Arrangement one

A plane-wave DFT calculation with PBE was carried out for an optimized crystal structure of ZrAgBr6.

Unit cell a=6.520 b=7.162 c=7.207 alpha=116.45 beta=115.97 gamma=90.28
Space group P-1 (No. 2)
One atom of each set of equivalent atoms:
Zr (0.000, 0.000, 0.000) [1 per cell]
Ag (0.500, 0.500, 0.000) [1 per cell]
Br (0.039, 0.213, 0.418) [2 per cell]
Br (0.258, 0.764, 0.166) [2 per cell]
Br (0.405, 0.270, 0.170) [2 per cell]

Results
Calculated volume ... 262.4 Å³/cell
Crystal system ... triclinic

---

Arrangement two

A plane-wave DFT calculation with PBE was carried out for an optimized crystal structure of ZrAgBr6.

Unit cell a=7.035 b=12.776 c=7.049 alpha=90.00 beta=115.90 gamma=90.00
Space group C2/m (No. 12)
One atom of each set of equivalent atoms:
Zr (0.000, 0.000, 0.000) [2 per cell]
Ag (0.000, 0.500, 0.500) [2 per cell]
Br (0.217, 0.000, 0.783) [4 per cell]
Br (0.247, 0.350, 0.747) [8 per cell]

Results
Calculated volume ... 570.0 Å³/cell
Crystal system ... monoclinic

---

Structures ranked by computed energy, the most stable listed first: arrangement two, arrangement one.

---

Arrangement one

A plane-wave DFT calculation with PBE was carried out for an optimized crystal structure of ZrAg2Br.

Unit cell a=6.872 b=6.872 c=6.872 alpha=90.00 beta=90.00 gamma=90.00
Space group F-43m (No. 216)
One atom of each set of equivalent atoms:
Zr (0.000, 0.000, 0.000) [4 per cell]
Ag (0.000, 0.000, 0.500) [4 per cell]
Ag (0.250, 0.250, 0.250) [4 per cell]
Br (0.250, 0.250, 0.750) [4 per cell]

Results
Calculated volume ... 324.5 Å³/cell
Crystal system ... cubic

---

Arrangement two

A plane-wave DFT calculation with PBE was carried out for an optimized crystal structure of ZrAg2Br.

Unit cell a=3.215 b=4.683 c=5.670 alpha=90.00 beta=99.52 gamma=90.00
Space group P2/m (No. 10)
One atom of each set of equivalent atoms:
Zr (0.000, 0.000, 0.000) [1 per cell]
Ag (0.411, 0.500, 0.757) [2 per cell]
Br (0.000, 0.000, 0.500) [1 per cell]

Results
Calculated volume ... 84.2 Å³/cell
Crystal system ... monoclinic

---

Structures ranked by computed energy, the most stable listed first: arrangement two, arrangement one.

---

Arrangement one

A plane-wave DFT calculation with PBE was carried out for an optimized crystal structure of ZrAg2Br.

Unit cell a=3.369 b=3.506 c=8.031 alpha=90.00 beta=90.54 gamma=90.00
Space group Pm (No. 6)
One atom of each set of equivalent atoms:
Zr (0.000, 0.000, 0.000) [1 per cell]
Ag (0.496, 0.500, 0.795) [1 per cell]
Ag (0.992, 0.000, 0.611) [1 per cell]
Br (0.006, 0.500, 0.258) [1 per cell]

Results
Calculated volume ... 94.8 Å³/cell
Crystal system ... monoclinic

---

Arrangement two

A plane-wave DFT calculation with PBE was carried out for an optimized crystal structure of ZrAg2Br.

Unit cell a=3.188 b=4.587 c=14.292 alpha=90.00 beta=90.00 gamma=90.00
Space group Imm2 (No. 44)
One atom of each set of equivalent atoms:
Zr (0.000, 0.000, 0.000) [2 per cell]
Ag (0.000, 0.000, 0.429) [2 per cell]
Ag (0.000, 0.500, 0.318) [2 per cell]
Br (0.000, 0.500, 0.654) [2 per cell]

Results
Calculated volume ... 209.0 Å³/cell
Crystal system ... orthorhombic

---

Structures ranked by computed energy, the most stable listed first: arrangement one, arrangement two.

---

Arrangement one

A plane-wave DFT calculation with PBE was carried out for an optimized crystal structure of ZrAg2Br.

Unit cell a=3.255 b=3.255 c=8.616 alpha=90.00 beta=90.00 gamma=90.00
Space group P4mm (No. 99)
One atom of each set of equivalent atoms:
Zr (0.000, 0.000, 0.000) [1 per cell]
Ag (0.000, 0.000, 0.420) [1 per cell]
Ag (0.500, 0.500, 0.223) [1 per cell]
Br (0.500, 0.500, 0.796) [1 per cell]

Results
Calculated volume ... 91.3 Å³/cell
Crystal system ... tetragonal

---

Arrangement two

A plane-wave DFT calculation with PBE was carried out for an optimized crystal structure of ZrAg2Br.

Unit cell a=8.111 b=8.111 c=5.458 alpha=90.00 beta=90.00 gamma=90.00
Space group I-42d (No. 122)
One atom of each set of equivalent atoms:
Zr (0.000, 0.000, 0.000) [4 per cell]
Ag (0.249, 0.250, 0.125) [8 per cell]
Br (0.000, 0.000, 0.500) [4 per cell]

Results
Calculated volume ... 359.0 Å³/cell
Crystal system ... tetragonal

---

Structures ranked by computed energy, the most stable listed first: arrangement one, arrangement two.